Entry 1:
The following is a PBE calculation of a relaxed structure of AlRuAu2, from the Alexandria database.

Summary:
formation enthalpy at 0 K: 0.00 eV per atom
space-group type: Cmmm (65)
size of the total moment: 0.000 μB/f.u.
ρ: 13402 kg/m³

abc: 4.7339 4.7339 3.0569
angles: 90.00 90.00 109.25
Last column: nearest neighbours and their distance in Å.
Positions (direct):
1 Ru 0.5000 0.0000 0.5000  2 Al 2.74, 8 Au 2.82, 2 Ru 3.06
2 Al 0.0000 0.5000 0.5000  2 Ru 2.74, 8 Au 2.82, 2 Al 3.06
3 Au 0.5000 0.5000 0.0000  4 Au 2.74-3.06, 4 Al 2.82, 4 Ru 2.82
4 Au 0.0000 0.0000 0.0000  4 Au 2.74-3.06, 4 Ru 2.82, 4 Al 2.82

***

Entry 2:
The following is a PBE calculation of a relaxed structure of AlRu2Au, from the Alexandria database.

Summary:
formation enthalpy at 0 K: -0.01 eV per atom
space-group type: P2/m (10)
size of the total moment: 0.001 μB/f.u.
ρ: 11839 kg/m³

abc: 2.8600 4.7048 5.5580
angles: 53.04 90.00 90.00
Last column: nearest neighbours and their distance in Å.
Positions (direct):
1 Ru 0.0000 0.0000 0.0000  4 Al 2.73, 6 Ru 2.75-2.86, 2 Au 2.78
2 Ru 0.5000 0.5000 0.0000  4 Au 2.73, 6 Ru 2.75-2.86, 2 Al 2.78
3 Au 0.0000 0.0000 0.5000  6 Ru 2.73-2.78, 4 Al 2.75, 2 Au 2.86
4 Al 0.5000 0.5000 0.5000  6 Ru 2.73-2.78, 4 Au 2.75, 2 Al 2.86

***

Entry 3:
The following is a PBE calculation of a relaxed structure of AlRu2Au, from the Alexandria database.

Summary:
formation enthalpy at 0 K: -0.05 eV per atom
space-group type: I-4m2 (119)
size of the total moment: 0.000 μB/f.u.
ρ: 11926 kg/m³

abc: 4.7573 4.7573 4.7573
angles: 131.39 131.39 71.20
Last column: nearest neighbours and their distance in Å.
Positions (direct):
1 Al 0.5000 0.5000 0.0000  8 Ru 2.75-2.77, 4 Au 2.75
2 Au 0.7500 0.2500 0.5000  8 Ru 2.75-2.77, 4 Al 2.75
3 Ru 0.2500 0.7500 0.5000  4 Al 2.75, 4 Ru 2.75, 4 Au 2.77
4 Ru 0.0000 0.0000 0.0000  4 Ru 2.75, 4 Au 2.75, 4 Al 2.77

***

Entry 4:
The following is a PBE calculation of a relaxed structure of AlRuAu2, from the Alexandria database.

Summary:
formation enthalpy at 0 K: -0.04 eV per atom
space-group type: I-4m2 (119)
size of the total moment: 0.000 μB/f.u.
ρ: 13514 kg/m³

abc: 4.7573 4.7573 4.7573
angles: 128.50 128.50 75.82
Last column: nearest neighbours and their distance in Å.
Positions (direct):
1 Al 0.7500 0.2500 0.5000  8 Au 2.79-2.92, 4 Ru 2.79
2 Ru 0.5000 0.5000 0.0000  8 Au 2.79-2.92, 4 Al 2.79
3 Au 0.0000 0.0000 0.0000  4 Al 2.79, 4 Au 2.79, 4 Ru 2.92
4 Au 0.2500 0.7500 0.5000  4 Ru 2.79, 4 Au 2.79, 4 Al 2.92